[1]
A plane-wave DFT calculation with PBE was carried out for an optimized crystal structure of Rb2CrHgI6.

Cell and atoms, written as CIF:
```
data_Rb2CrHgI6
_chemical_formula_sum 'Rb4 Cr2 Hg2 I12'
_symmetry_space_group_name_H-M 'I 4/m m m'
_symmetry_Int_Tables_number 139
_symmetry_space_group_name_Hall '-I 4 2'
_cell_length_a 8.348
_cell_length_b 8.348
_cell_length_c 11.873
_cell_angle_alpha 90.00
_cell_angle_beta 90.00
_cell_angle_gamma 90.00
loop_
_atom_site_label
_atom_site_type_symbol
_atom_site_fract_x
_atom_site_fract_y
_atom_site_fract_z
_atom_site_occupancy
Rb1 Rb 0.000 0.500 0.250 1
Cr1 Cr 0.000 0.000 0.000 1
Hg1 Hg 0.000 0.000 0.500 1
I1 I 0.000 0.000 0.235 1
I2 I 0.237 0.237 0.000 1
```

Output
For the size of the total moment, the calculation gives 7.881 μB/cell. Its volume is 827 Å³ per cell. The value obtained for the uncorrected formation energy is -0.737 eV/atom.

[2]
A plane-wave DFT calculation with PBE was carried out for an optimized crystal structure of CrHg2SI.

Cell and atoms, written as CIF:
```
data_CrHg2SI
_chemical_formula_sum 'Cr1 Hg2 S1 I1'
_symmetry_space_group_name_H-M 'P 4/m m m'
_symmetry_Int_Tables_number 123
_symmetry_space_group_name_Hall '-P 4 2'
_cell_length_a 5.493
_cell_length_b 5.493
_cell_length_c 5.309
_cell_angle_alpha 90.00
_cell_angle_beta 90.00
_cell_angle_gamma 90.00
loop_
_atom_site_label
_atom_site_type_symbol
_atom_site_fract_x
_atom_site_fract_y
_atom_site_fract_z
_atom_site_occupancy
Cr1 Cr 0.000 0.000 0.000 1
Hg1 Hg 0.000 0.500 0.000 1
S1 S 0.500 0.500 0.500 1
I1 I 0.000 0.000 0.500 1
```

Output
For the size of the total moment, the calculation gives 2.977 μB/cell. Its volume is 160 Å³ per cell. The value obtained for the uncorrected formation energy is 0.567 eV/atom.

Please write out number 2 again, unchanged.
A plane-wave DFT calculation with PBE was carried out for an optimized crystal structure of CrHg2SI.

Cell and atoms, written as CIF:
```
data_CrHg2SI
_chemical_formula_sum 'Cr1 Hg2 S1 I1'
_symmetry_space_group_name_H-M 'P 4/m m m'
_symmetry_Int_Tables_number 123
_symmetry_space_group_name_Hall '-P 4 2'
_cell_length_a 5.493
_cell_length_b 5.493
_cell_length_c 5.309
_cell_angle_alpha 90.00
_cell_angle_beta 90.00
_cell_angle_gamma 90.00
loop_
_atom_site_label
_atom_site_type_symbol
_atom_site_fract_x
_atom_site_fract_y
_atom_site_fract_z
_atom_site_occupancy
Cr1 Cr 0.000 0.000 0.000 1
Hg1 Hg 0.000 0.500 0.000 1
S1 S 0.500 0.500 0.500 1
I1 I 0.000 0.000 0.500 1
```

Output
For the size of the total moment, the calculation gives 2.977 μB/cell. Its volume is 160 Å³ per cell. The value obtained for the uncorrected formation energy is 0.567 eV/atom.